The following is a DFT calculation (GGA-PBE) of Pm14PrHo after structural relaxation.

Lattice parameters (Å, degrees): 11.795 7.325 12.684 90.00 90.00 90.00
Space group Amm2 (No. 38)
Inequivalent atoms, fractional coordinates:
Pm (0.000, 0.000, 0.000)
Pm (0.000, 0.000, 0.499)
Pm (0.000, 0.249, 0.250)
Pm (0.248, 0.000, 0.833)
Pm (0.251, 0.249, 0.083)
Pm (0.252, 0.000, 0.332)
Pm (0.500, 0.249, 0.916)
Pr (0.500, 0.000, 0.666)
Ho (0.500, 0.000, 0.166)

## Properties
The calculation puts the formation energy at 0.0001 eV per atom. For the total energy, the calculation gives -151.7 eV/cell. The size of the total moment is 0.0 μB/f.u. Its crystal system is orthorhombic. The calculated volume is 34.25 Å³ per atom.



The following is a DFT calculation (GGA-PBE) of Pm6Pr3Ho2 after structural relaxation.

Lattice parameters (Å, degrees): 4.847 4.847 33.704 90.00 90.00 90.00
Space group I4/mmm (No. 139)
Inequivalent atoms, fractional coordinates:
Pm (0.000, 0.000, 0.194)
Pm (0.000, 0.500, 0.119)
Pr (0.000, 0.000, 0.297)
Pr (0.000, 0.000, 0.500)
Ho (0.000, 0.000, 0.045)

## Properties
The calculation puts the formation energy at 0.2669 eV per atom. For the total energy, the calculation gives -98.1 eV/cell. The size of the total moment is 0.0 μB/f.u. Its crystal system is tetragonal. The calculated volume is 35.99 Å³ per atom.